Density functional theory data (PBE-GGA) for a relaxed structure of CeDyCu4.

a = 4.3205 Å, b = 5.4812 Å, c = 5.4812 Å
α = 77.11°, β = 66.79°, γ = 66.79°
Last column: nearest neighbours and their distance in Å.
Fractional coordinates of all 6 atoms:
1 Cu 0.8342 0.8682 0.4635  4 Cu 2.50-2.76
2 Cu 0.8342 0.4635 0.8682  4 Cu 2.50-2.76
3 Cu 0.1644 0.0371 0.6340  4 Cu 2.50-2.75
4 Cu 0.1644 0.6340 0.0371  4 Cu 2.50-2.75
5 Ce 0.5399 0.4601 0.4601  12 Cu 2.98-3.11
6 Dy 0.4629 0.0371 0.0371  12 Cu 2.96-3.12

- Fermi-level density of states: 6.98 states/eV/cell
- Crystal system: orthorhombic
- Offset from the most stable computed form: 0 meV/atom
- Formation enthalpy at 0 K: -0.21 eV/atom
- E_tot: -4.6929 eV/atom
- Symmetry: Imm2 (44)